Entry 1:
A geometry-optimized Na2Cr2TeSe6 structure. Source: Alexandria, functional PBE-GGA.

Properties
V = 24.53 Å³ per atom
Formation energy (no corrections) = -588.9 meV per atom
Size of the total moment = 12.00 μB per cell

a = 6.586 Å, b = 11.562 Å, c = 7.382 Å
α = 90.00°, β = 106.20°, γ = 90.00°
Space group C2/m (No. 12)
Asymmetric unit:
Na: 0.000 0.157 0.000 x4
Cr: 0.000 0.333 0.500 x4
Te: 0.000 0.000 0.500 x2
Se: 0.204 0.500 0.708 x4
Se: 0.241 0.180 0.704 x8

Entry 2:
A geometry-optimized BeSb2Br structure. Source: Alexandria, functional PBE-GGA.

Properties
Energy relative to the lowest polymorph listed for this composition = 10.6 kJ per mole of atoms
V = 27.04 Å³ per atom
Formation energy (no corrections) = 36.9 meV per atom
Size of the total moment = 0.00 μB per cell

a = 3.7025 Å, b = 3.7025 Å, c = 27.3307 Å
α = 90.00°, β = 90.00°, γ = 120.00°
Space group R3m (No. 160, hexagonal axes)
Asymmetric unit:
Be: 0.0000 0.0000 0.0000 x3
Sb: 0.0000 0.0000 0.4710 x3
Sb: 0.0000 0.0000 0.7301 x3
Br: 0.0000 0.0000 0.2871 x3

Entry 3:
A geometry-optimized Nd6Al5Ag structure. Source: Alexandria, functional PBE-GGA.

Properties
Calculated formation energy = -0.322 eV per atom
V = 26.23 Å³ per atom
Size of the total moment = 0.00 μB per cell

a = 5.285 Å, b = 15.863 Å, c = 7.510 Å
α = 90.00°, β = 90.00°, γ = 90.00°
Space group Cmmm (No. 65)
Asymmetric unit:
Nd: 0.000 0.000 0.250 x4
Nd: 0.000 0.334 0.250 x8
Al: 0.000 0.166 0.000 x4
Al: 0.000 0.167 0.500 x4
Al: 0.000 0.500 0.500 x2
Ag: 0.000 0.500 0.000 x2

Entry 4:
A geometry-optimized ZnFePb structure. Source: Alexandria, functional PBE-GGA.

Properties
Calculated formation energy = 0.499 eV per atom
Energy relative to the lowest polymorph listed for this composition = 8.4 kJ per mole of atoms
V = 19.06 Å³ per atom
Size of the total moment = 2.39 μB per cell

a = 4.3372 Å, b = 4.3372 Å, c = 3.5093 Å
α = 90.00°, β = 90.00°, γ = 120.00°
Space group P3m1 (No. 156)
Asymmetric unit:
Zn: 0.0000 0.0000 0.0000 x1
Fe: 0.6667 0.3333 0.0122 x1
Pb: 0.3333 0.6667 0.5055 x1

Entry 5:
A geometry-optimized RbTa3Fe structure. Source: Alexandria, functional PBE-GGA.

Properties
Calculated formation energy = 1.352 eV per atom
Energy relative to the lowest polymorph listed for this composition = 0.0 kJ per mole of atoms
V = 22.05 Å³ per atom
Size of the total moment = 0.49 μB per cell

a = 4.795 Å, b = 4.795 Å, c = 4.795 Å
α = 90.00°, β = 90.00°, γ = 90.00°
Space group Pm-3m (No. 221)
Asymmetric unit:
Rb: 0.000 0.000 0.000 x1
Ta: 0.000 0.500 0.500 x3
Fe: 0.500 0.500 0.500 x1

Entry 6:
A geometry-optimized Na2PdPbF8 structure. Source: Alexandria, functional PBE-GGA.

Properties
V = 14.18 Å³ per atom
Formation energy (no corrections) = -2029.6 meV per atom
Size of the total moment = 0.45 μB per cell

a = 3.865 Å, b = 5.417 Å, c = 8.159 Å
α = 94.69°, β = 90.08°, γ = 92.25°
Space group P-1 (No. 2)
Asymmetric unit:
Na: 0.001 0.474 0.231 x2
Pd: 0.500 0.000 0.000 x1
Pb: 0.500 0.000 0.500 x1
F: 0.006 0.786 0.551 x2
F: 0.095 0.768 0.029 x2
F: 0.472 0.173 0.225 x2
F: 0.487 0.310 0.683 x2

Entry 7:
A geometry-optimized CaLaGeRh structure. Source: Alexandria, functional PBE-GGA.

Properties
Calculated formation energy = -0.536 eV per atom
V = 23.52 Å³ per atom
Size of the total moment = 0.00 μB per cell

a = 7.219 Å, b = 7.219 Å, c = 7.219 Å
α = 90.00°, β = 90.00°, γ = 90.00°
Space group F-43m (No. 216)
Asymmetric unit:
Ca: 0.000 0.000 0.000 x4
La: 0.000 0.000 0.500 x4
Ge: 0.250 0.250 0.750 x4
Rh: 0.250 0.250 0.250 x4

Entry 8:
A geometry-optimized Ca2Si2Hg structure. Source: Alexandria, functional PBE-GGA.

Properties
Energy relative to the lowest polymorph listed for this composition = 13.6 kJ per mole of atoms
V = 24.07 Å³ per atom
Formation energy (no corrections) = -238.7 meV per atom
Size of the total moment = 0.00 μB per cell

a = 3.632 Å, b = 3.632 Å, c = 18.250 Å
α = 90.00°, β = 90.00°, γ = 90.00°
Space group I4/mmm (No. 139)
Asymmetric unit:
Ca: 0.000 0.000 0.112 x4
Si: 0.000 0.500 0.250 x4
Hg: 0.000 0.000 0.500 x2

Entry 9:
A geometry-optimized NaSbSe3 structure. Source: Alexandria, functional PBE-GGA.

Properties
Energy relative to the lowest polymorph listed for this composition = 97.2 kJ per mole of atoms
V = 26.49 Å³ per atom
Formation energy (no corrections) = 594.9 meV per atom
Size of the total moment = 0.91 μB per cell

a = 5.098 Å, b = 5.098 Å, c = 5.098 Å
α = 90.00°, β = 90.00°, γ = 90.00°
Space group Pm-3m (No. 221)
Asymmetric unit:
Na: 0.000 0.000 0.000 x1
Sb: 0.500 0.500 0.500 x1
Se: 0.000 0.000 0.500 x3

Entry 10:
A geometry-optimized Sc2HAu2 structure. Source: Alexandria, functional PBE-GGA.

Properties
Energy relative to the lowest polymorph listed for this composition = 0.0 kJ per mole of atoms
V = 18.20 Å³ per atom
Size of the total moment = 0.00 μB per cell

a = 6.380 Å, b = 6.380 Å, c = 4.470 Å
α = 90.00°, β = 90.00°, γ = 90.00°
Space group P4/mbm (No. 127)
Asymmetric unit:
Sc: 0.171 0.329 0.000 x4
H: 0.000 0.000 0.000 x2
Au: 0.150 0.650 0.500 x4

Entry 11:
A geometry-optimized CuAgPt2 structure. Source: Alexandria, functional PBE-GGA.

Properties
Calculated formation energy = 0.018 eV per atom
Energy relative to the lowest polymorph listed for this composition = 14.8 kJ per mole of atoms
V = 15.43 Å³ per atom
Size of the total moment = 0.00 μB per cell

a = 5.522 Å, b = 8.041 Å, c = 2.781 Å
α = 90.00°, β = 90.00°, γ = 90.00°
Space group Cmmm (No. 65)
Asymmetric unit:
Cu: 0.000 0.000 0.000 x2
Ag: 0.000 0.500 0.000 x2
Pt: 0.250 0.250 0.500 x4

Entry 12:
A geometry-optimized ScCrNiGe structure. Source: Alexandria, functional PBE-GGA.

Properties
Calculated formation energy = -0.256 eV per atom
Energy relative to the lowest polymorph listed for this composition = 1.2 kJ per mole of atoms
V = 14.90 Å³ per atom
Size of the total moment = 5.82 μB per cell

a = 3.941 Å, b = 3.941 Å, c = 7.676 Å
α = 90.00°, β = 90.00°, γ = 90.00°
Space group I-4m2 (No. 119)
Asymmetric unit:
Sc: 0.000 0.000 0.000 x2
Cr: 0.000 0.000 0.500 x2
Ni: 0.000 0.500 0.250 x2
Ge: 0.000 0.500 0.750 x2

Entry 13:
A geometry-optimized Th2MnSe2Br4 structure. Source: Alexandria, functional PBE-GGA.

Properties
V = 30.96 Å³ per atom
Formation energy (no corrections) = -1026.7 meV per atom
Size of the total moment = 3.13 μB per cell

a = 3.7237 Å, b = 3.7237 Å, c = 23.2035 Å
α = 90.00°, β = 90.00°, γ = 120.00°
Space group P3m1 (No. 156)
Asymmetric unit:
Th: 0.0000 0.0000 0.0000 x1
Th: 0.3333 0.6667 0.3555 x1
Mn: 0.3333 0.6667 0.6857 x1
Se: 0.0000 0.0000 0.6237 x1
Se: 0.0000 0.0000 0.7478 x1
Br: 0.0000 0.0000 0.2628 x1
Br: 0.0000 0.0000 0.4478 x1
Br: 0.3333 0.6667 0.0927 x1
Br: 0.3333 0.6667 0.9078 x1

Entry 14:
A geometry-optimized PmPr4Ho2Tm2 structure. Source: Alexandria, functional PBE-GGA.

Properties
Calculated formation energy = 0.022 eV per atom
V = 33.38 Å³ per atom
Size of the total moment = 0.00 μB per cell

a = 15.357 Å, b = 5.101 Å, c = 8.074 Å
α = 90.00°, β = 108.21°, γ = 90.00°
Space group C2/m (No. 12)
Asymmetric unit:
Pm: 0.000 0.000 0.000 x2
Pr: 0.053 0.500 0.331 x4
Pr: 0.223 0.000 0.331 x4
Ho: 0.112 0.000 0.670 x4
Tm: 0.169 0.500 0.999 x4

Entry 15:
A geometry-optimized Ac5RuN2 structure. Source: Alexandria, functional PBE-GGA.

Properties
V = 34.36 Å³ per atom
Formation energy (no corrections) = -463.2 meV per atom
Size of the total moment = 1.58 μB per cell

a = 5.079 Å, b = 14.465 Å, c = 14.968 Å
α = 90.00°, β = 90.00°, γ = 90.00°
Space group Cmcm (No. 63)
Asymmetric unit:
Ac: 0.000 0.068 0.114 x8
Ac: 0.000 0.231 0.750 x4
Ac: 0.000 0.327 0.060 x8
Ru: 0.000 0.211 0.250 x4
N: 0.000 0.170 0.511 x8

Entry 16:
A geometry-optimized CuTe2 structure. Source: Alexandria, functional PBE-GGA.

Properties
V = 24.32 Å³ per atom
Formation energy (no corrections) = 63.4 meV per atom
Size of the total moment = 0.00 μB per cell

a = 3.8822 Å, b = 3.8822 Å, c = 16.7711 Å
α = 90.00°, β = 90.00°, γ = 120.00°
Space group R-3m (No. 166, hexagonal axes)
Asymmetric unit:
Cu: 0.0000 0.0000 0.0000 x3
Te: 0.0000 0.0000 0.2451 x6

Entry 17:
A geometry-optimized Pr6HgBr8 structure. Source: Alexandria, functional PBE-GGA.

Properties
V = 34.38 Å³ per atom
Formation energy (no corrections) = -1378.0 meV per atom
Size of the total moment = 0.00 μB per cell

a = 7.3147 Å, b = 7.3147 Å, c = 33.3896 Å
α = 90.00°, β = 90.00°, γ = 120.00°
Space group R-3 (No. 148, hexagonal axes)
Asymmetric unit:
Pr: 0.9999 0.3339 0.4459 x18
Hg: 0.0000 0.0000 0.5000 x3
Br: 0.0000 0.0000 0.1667 x6
Br: 0.9999 0.3265 0.6094 x18

Entry 18:
A geometry-optimized USi2Ru2Pt structure. Source: Alexandria, functional PBE-GGA.

Properties
V = 18.54 Å³ per atom
Formation energy (no corrections) = 195.0 meV per atom
Size of the total moment = 1.79 μB per cell

a = 4.548 Å, b = 4.548 Å, c = 5.377 Å
α = 90.00°, β = 90.00°, γ = 90.00°
Space group P4/mmm (No. 123)
Asymmetric unit:
U: 0.000 0.000 0.000 x1
Si: 0.000 0.500 0.500 x2
Ru: 0.500 0.500 0.242 x2
Pt: 0.000 0.000 0.500 x1

Entry 19:
A geometry-optimized Cu2HI structure. Source: Alexandria, functional PBE-GGA.

Properties
Energy relative to the lowest polymorph listed for this composition = 0.0 kJ per mole of atoms
V = 15.95 Å³ per atom
Size of the total moment = 0.00 μB per cell

a = 4.885 Å, b = 4.885 Å, c = 10.696 Å
α = 90.00°, β = 90.00°, γ = 90.00°
Space group I-42d (No. 122)
Asymmetric unit:
Cu: 0.089 0.250 0.125 x8
H: 0.000 0.000 0.000 x4
I: 0.000 0.000 0.500 x4

Entry 20:
A geometry-optimized Co2CuPdN structure. Source: Alexandria, functional PBE-GGA.

Properties
Energy relative to the lowest polymorph listed for this composition = 0.0 kJ per mole of atoms
V = 11.24 Å³ per atom
Formation energy (no corrections) = 66.1 meV per atom
Size of the total moment = 3.07 μB per cell

a = 3.747 Å, b = 3.747 Å, c = 4.003 Å
α = 90.00°, β = 90.00°, γ = 90.00°
Space group P4/mmm (No. 123)
Asymmetric unit:
Co: 0.000 0.500 0.000 x2
Cu: 0.000 0.000 0.500 x1
Pd: 0.500 0.500 0.500 x1
N: 0.000 0.000 0.000 x1

Entry 21:
A geometry-optimized HfZr2Be2Ir5 structure. Source: Alexandria, functional PBE-GGA.

Properties
Calculated formation energy = -0.914 eV per atom
V = 15.15 Å³ per atom
Size of the total moment = 0.00 μB per cell

a = 9.481 Å, b = 9.481 Å, c = 3.372 Å
α = 90.00°, β = 90.00°, γ = 90.00°
Space group P4/mbm (No. 127)
Asymmetric unit:
Hf: 0.000 0.000 0.000 x2
Zr: 0.175 0.325 0.000 x4
Be: 0.119 0.619 0.000 x4
Ir: 0.000 0.500 0.500 x2
Ir: 0.072 0.783 0.500 x8